Compound: Sr2NbC
Source: Alexandria via LeMat-Bulk
Functional: meta-GGA SCAN
Structure: PBEsol geometry

Calculated values
* calculated total energy: -21.416 eV per atom
* magnetic moment: 5.7 μB per cell

```
data_Sr2NbC
_chemical_formula_sum 'Sr8 Nb4 C4'
_symmetry_space_group_name_H-M 'I -4 2 d'
_symmetry_Int_Tables_number 122
_symmetry_space_group_name_Hall 'I -4 2bw'
_cell_length_a 10.564
_cell_length_b 10.564
_cell_length_c 4.199
_cell_angle_alpha 90.00
_cell_angle_beta 90.00
_cell_angle_gamma 90.00
loop_
_atom_site_label
_atom_site_type_symbol
_atom_site_fract_x
_atom_site_fract_y
_atom_site_fract_z
Sr1 Sr 0.077 0.250 0.125
Nb1 Nb 0.000 0.000 0.500
C1 C 0.000 0.000 0.000
```